First-principles (PBE with a Hubbard U) data for LiCrPHO5 after structural relaxation, as listed in Alexandria via LeMat-Bulk.

a b c (Å): 5.3986 7.3258 5.1510
angles (deg): 108.93 97.98 106.43
With the nearest neighbours (Å) after each atom.
Atoms (fractional coordinates):
O (0.0471, 0.7233, 0.8396)  1 H 0.99
Li (0.6059, 0.1757, 0.2566)  5 O 2.00-2.16
H (0.0675, 0.3438, 0.3576)  1 O 0.99
O (0.2041, 0.3824, 0.7269)  1 P 1.55
O (0.9529, 0.2767, 0.1604)  1 H 0.99
P (0.3592, 0.2315, 0.6769)  4 O 1.55-1.56
H (0.9325, 0.6563, 0.6424)  1 O 0.99
O (0.6614, 0.8816, 0.1124)  1 P 1.56
O (0.3386, 0.1184, 0.8876)  1 P 1.56
Cr (0.0000, 0.5000, 0.0000)  6 O 2.02-2.03
O (0.3436, 0.6607, 0.3061)  1 P 1.55
O (0.2485, 0.0691, 0.3684)  1 P 1.55
O (0.6564, 0.3393, 0.6939)  1 P 1.55
O (0.7515, 0.9309, 0.6316)  1 P 1.55
O (0.7959, 0.6176, 0.2731)  1 P 1.55
P (0.6408, 0.7685, 0.3231)  4 O 1.55-1.56
Cr (0.0000, 0.0000, 0.0000)  6 O 1.99-2.04
Li (0.3941, 0.8243, 0.7434)  5 O 2.00-2.16

Output
E: -6.833 eV/atom
magnetic moment: 6.00 μB per cell
SG: P-1, No. 2